1.
An optimized crystal structure of Na2HgI2. Source: Alexandria, functional PBE. Values from VASP.

Computed properties:
Energy relative to the lowest polymorph listed for this composition in meV per atom: 3

Quantum ESPRESSO input file:
```
&SYSTEM
  ibrav = 0, nat = 5, ntyp = 3
/
ATOMIC_SPECIES
I 126.90 I.upf
Na 22.99 Na.upf
Hg 200.59 Hg.upf
CELL_PARAMETERS angstrom
-1.008 5.531 -0.688
-5.443 -1.128 -1.089
-4.714 2.782 5.954
ATOMIC_POSITIONS crystal
I 0.340 0.340 0.320
I 0.660 0.660 0.680
Na 0.750 0.250 0.500
Na 0.250 0.750 0.500
Hg 0.000 0.000 0.000
```

***

2.
An optimized crystal structure of NaHgI2. Source: Alexandria, functional PBE. Values from VASP.

Computed properties:
Energy relative to the lowest polymorph listed for this composition in meV per atom: 201

Quantum ESPRESSO input file:
```
&SYSTEM
  ibrav = 0, nat = 4, ntyp = 3
/
ATOMIC_SPECIES
I 126.90 I.upf
Na 22.99 Na.upf
Hg 200.59 Hg.upf
CELL_PARAMETERS angstrom
5.192 0.000 0.000
2.596 4.497 0.000
2.596 1.499 8.901
ATOMIC_POSITIONS crystal
I 0.108 0.108 0.676
I 0.892 0.892 0.324
Na 0.000 0.000 0.000
Hg 0.500 0.500 0.500
```

***

3.
An optimized crystal structure of Na3HgI3. Source: Alexandria, functional PBE. Values from VASP.

Quantum ESPRESSO input file:
```
&SYSTEM
  ibrav = 0, nat = 14, ntyp = 3
/
ATOMIC_SPECIES
Na 22.99 Na.upf
Hg 200.59 Hg.upf
I 126.90 I.upf
CELL_PARAMETERS angstrom
8.753 0.000 4.457
3.242 8.131 4.457
1.178 0.799 8.510
ATOMIC_POSITIONS crystal
Na 0.425 0.747 0.754
Na 0.747 0.074 0.754
Na 0.074 0.425 0.754
Na 0.926 0.575 0.246
Na 0.253 0.926 0.246
Na 0.575 0.253 0.246
Hg 0.324 0.324 0.027
Hg 0.676 0.676 0.973
I 0.236 0.601 0.260
I 0.903 0.236 0.260
I 0.601 0.903 0.260
I 0.399 0.097 0.740
I 0.097 0.764 0.740
I 0.764 0.399 0.740
```

***

4.
An optimized crystal structure of Na2NpHgI6. Source: Alexandria, functional PBE. Values from VASP.

Quantum ESPRESSO input file:
```
&SYSTEM
  ibrav = 0, nat = 10, ntyp = 4
/
ATOMIC_SPECIES
Na 22.99 Na.upf
Np 237.00 Np.upf
Hg 200.59 Hg.upf
I 126.90 I.upf
CELL_PARAMETERS angstrom
-3.674 -7.143 -1.196
4.152 -6.219 -3.171
2.217 -6.700 5.644
ATOMIC_POSITIONS crystal
Na 0.510 0.511 0.469
Na 0.990 0.990 0.029
Np 0.332 0.332 0.005
Hg 0.824 0.824 0.529
I 0.557 0.279 0.225
I 0.279 0.940 0.225
I 0.940 0.556 0.225
I 0.364 0.727 0.770
I 0.727 0.139 0.770
I 0.139 0.364 0.770
```

***

5.
An optimized crystal structure of NaNpHgI6. Source: Alexandria, functional PBE. Values from VASP.

Quantum ESPRESSO input file:
```
&SYSTEM
  ibrav = 0, nat = 9, ntyp = 4
/
ATOMIC_SPECIES
Na 22.99 Na.upf
Np 237.00 Np.upf
Hg 200.59 Hg.upf
I 126.90 I.upf
CELL_PARAMETERS angstrom
-6.830 1.281 -3.620
-1.608 -3.658 -6.741
-2.933 -5.390 3.625
ATOMIC_POSITIONS crystal
Na 0.667 0.667 0.500
Np 0.333 0.333 0.500
Hg 0.000 0.000 0.000
I 0.017 0.334 0.253
I 0.334 0.017 0.747
I 0.648 0.335 0.747
I 0.017 0.649 0.747
I 0.335 0.649 0.253
I 0.649 0.017 0.253
```

***

6.
An optimized crystal structure of Na2Hg2IO6. Source: Alexandria, functional PBE. Values from VASP.

Quantum ESPRESSO input file:
```
&SYSTEM
  ibrav = 0, nat = 11, ntyp = 4
/
ATOMIC_SPECIES
Na 22.99 Na.upf
Hg 200.59 Hg.upf
I 126.90 I.upf
O 16.00 O.upf
CELL_PARAMETERS angstrom
-2.219 -0.143 5.534
-0.122 -4.928 -3.357
5.582 -1.132 1.926
ATOMIC_POSITIONS crystal
Na 0.340 0.660 0.500
Na 0.660 0.340 0.500
Hg 0.842 0.158 0.000
Hg 0.158 0.842 0.000
I 0.000 0.000 0.500
O 0.749 0.749 0.676
O 0.003 0.289 0.696
O 0.251 0.251 0.324
O 0.289 0.003 0.696
O 0.997 0.711 0.304
O 0.711 0.997 0.304
```

***

7.
An optimized crystal structure of NaHgI2O. Source: Alexandria, functional PBE. Values from VASP.

Computed properties:
Energy relative to the lowest polymorph listed for this composition in meV per atom: 0

Quantum ESPRESSO input file:
```
&SYSTEM
  ibrav = 0, nat = 5, ntyp = 4
/
ATOMIC_SPECIES
I 126.90 I.upf
Na 22.99 Na.upf
Hg 200.59 Hg.upf
O 16.00 O.upf
CELL_PARAMETERS angstrom
-1.020 -0.115 6.002
-5.748 -1.737 -1.010
1.192 -4.017 0.126
ATOMIC_POSITIONS crystal
I 0.000 0.500 0.000
I 0.500 0.000 0.000
Na 0.500 0.500 0.500
Hg 0.000 0.000 0.000
O 0.000 0.000 0.500
```

***

8.
An optimized crystal structure of Na2HgIO6. Source: Alexandria, functional PBE. Values from VASP.

Quantum ESPRESSO input file:
```
&SYSTEM
  ibrav = 0, nat = 10, ntyp = 4
/
ATOMIC_SPECIES
Na 22.99 Na.upf
Hg 200.59 Hg.upf
I 126.90 I.upf
O 16.00 O.upf
CELL_PARAMETERS angstrom
5.732 0.062 0.045
2.715 5.049 0.045
2.715 1.643 4.775
ATOMIC_POSITIONS crystal
Na 0.236 0.236 0.236
Na 0.764 0.764 0.764
Hg 0.500 0.500 0.500
I 0.000 0.000 0.000
O 0.328 0.112 0.798
O 0.112 0.798 0.328
O 0.888 0.203 0.672
O 0.672 0.888 0.203
O 0.798 0.328 0.112
O 0.203 0.672 0.888
```

***

no.,E (Ha/atom)
1,-0.0780
2,-0.0575
3,-0.0838
4,-0.1242
5,-0.1231
6,-0.1410
7,-0.0817
8,-0.1504